Record 1
# B2OsC2 GGA-PBEsol relaxed
# **Density of states at the Fermi level**: 0.5100 states/eV/atom
# **ΔE_f**: 1300 meV/atom
data_B2OsC2
_chemical_formula_sum 'B4 Os2 C4'
_space_group_name_H-M_alt 'I 4/m m m'
_space_group_IT_number 139
_space_group_name_Hall '-I 4 2'
_cell_length_a 2.749
_cell_length_b 2.749
_cell_length_c 10.012
_cell_angle_alpha 90.00
_cell_angle_beta 90.00
_cell_angle_gamma 90.00
loop_
_atom_site_label
_atom_site_fract_x
_atom_site_fract_y
_atom_site_fract_z
B1 0.000 0.500 0.250
Os1 0.000 0.000 0.000
C1 0.000 0.000 0.346

Record 2
# Li4MnF8 GGA-PBEsol relaxed
# **Formation energy (no corrections)**: -3350 kJ/mol of formula units
data_Li4MnF8
_chemical_formula_sum 'Li8 Mn2 F16'
_space_group_name_H-M_alt 'I 4/m m m'
_space_group_IT_number 139
_space_group_name_Hall '-I 4 2'
_cell_length_a 5.578
_cell_length_b 5.578
_cell_length_c 8.608
_cell_angle_alpha 90.00
_cell_angle_beta 90.00
_cell_angle_gamma 90.00
loop_
_atom_site_label
_atom_site_fract_x
_atom_site_fract_y
_atom_site_fract_z
Li1 0.250 0.250 0.250
Mn1 0.000 0.000 0.000
F1 0.000 0.000 0.216
F2 0.000 0.500 0.250
F3 0.227 0.227 0.000

Record 3
# Cd2Ga2Sn GGA-PBEsol relaxed
# **Density of states at the Fermi level**: 0.4355 states/eV/atom
# **ΔE_f**: 84 meV/atom
data_Cd2Ga2Sn
_chemical_formula_sum 'Cd4 Ga4 Sn2'
_space_group_name_H-M_alt 'P 4/m b m'
_space_group_IT_number 127
_space_group_name_Hall '-P 4 2ab'
_cell_length_a 8.269
_cell_length_b 8.269
_cell_length_c 3.123
_cell_angle_alpha 90.00
_cell_angle_beta 90.00
_cell_angle_gamma 90.00
loop_
_atom_site_label
_atom_site_fract_x
_atom_site_fract_y
_atom_site_fract_z
Cd1 0.135 0.365 0.000
Ga1 0.163 0.663 0.500
Sn1 0.000 0.000 0.000

Record 4
# HfTa2MoPt GGA-PBEsol relaxed
# **Density of states at the Fermi level**: 1.3245 states/eV/atom
# **ΔE_f**: 1278 meV/atom
data_HfTa2MoPt
_chemical_formula_sum 'Hf1 Ta2 Mo1 Pt1'
_space_group_name_H-M_alt 'P 4/m m m'
_space_group_IT_number 123
_space_group_name_Hall '-P 4 2'
_cell_length_a 4.686
_cell_length_b 4.686
_cell_length_c 4.809
_cell_angle_alpha 90.00
_cell_angle_beta 90.00
_cell_angle_gamma 90.00
loop_
_atom_site_label
_atom_site_fract_x
_atom_site_fract_y
_atom_site_fract_z
Hf1 0.000 0.000 0.000
Ta1 0.000 0.500 0.500
Mo1 0.000 0.000 0.500
Pt1 0.500 0.500 0.000

Record 5
# PrAl GGA-PBEsol relaxed
# **Density of states at the Fermi level**: 0.4898 states/eV/atom
# **ΔE_f**: -392 meV/atom
data_PrAl
_chemical_formula_sum 'Pr8 Al8'
_space_group_name_H-M_alt 'C m c m'
_space_group_IT_number 63
_space_group_name_Hall '-C 2c 2'
_cell_length_a 9.236
_cell_length_b 7.607
_cell_length_c 5.658
_cell_angle_alpha 90.00
_cell_angle_beta 90.00
_cell_angle_gamma 90.00
loop_
_atom_site_label
_atom_site_fract_x
_atom_site_fract_y
_atom_site_fract_z
Pr1 0.180 0.162 0.250
Al1 0.000 0.194 0.750
Al2 0.000 0.500 0.000

Record 6
# ZrTl2CrAs GGA-PBEsol relaxed
# **Density of states at the Fermi level**: 0.6601 states/eV/atom
# **ΔE_f**: 641 meV/atom
data_ZrTl2CrAs
_chemical_formula_sum 'Zr1 Tl2 Cr1 As1'
_space_group_name_H-M_alt 'P 4/m m m'
_space_group_IT_number 123
_space_group_name_Hall '-P 4 2'
_cell_length_a 5.065
_cell_length_b 5.065
_cell_length_c 4.650
_cell_angle_alpha 90.00
_cell_angle_beta 90.00
_cell_angle_gamma 90.00
loop_
_atom_site_label
_atom_site_fract_x
_atom_site_fract_y
_atom_site_fract_z
Zr1 0.000 0.000 0.000
Tl1 0.000 0.500 0.500
Cr1 0.000 0.000 0.500
As1 0.500 0.500 0.000

Record 7
# TbYIr2 GGA-PBEsol relaxed
# **Density of states at the Fermi level**: 0.4811 states/eV/atom
# **ΔE_f**: -757 meV/atom
data_TbYIr2
_chemical_formula_sum 'Tb4 Y4 Ir8'
_space_group_name_H-M_alt 'F m -3 m'
_space_group_IT_number 225
_space_group_name_Hall '-F 4 2 3'
_cell_length_a 6.773
_cell_length_b 6.773
_cell_length_c 6.773
_cell_angle_alpha 90.00
_cell_angle_beta 90.00
_cell_angle_gamma 90.00
loop_
_atom_site_label
_atom_site_fract_x
_atom_site_fract_y
_atom_site_fract_z
Tb1 0.000 0.000 0.000
Y1 0.000 0.000 0.500
Ir1 0.250 0.250 0.250

Record 8
# RbTc3Ni GGA-PBEsol relaxed
# **Density of states at the Fermi level**: 1.4131 states/eV/atom
# **ΔE_f**: 3522 meV/atom
data_RbTc3Ni
_chemical_formula_sum 'Rb1 Tc3 Ni1'
_space_group_name_H-M_alt 'P m -3 m'
_space_group_IT_number 221
_space_group_name_Hall '-P 4 2 3'
_cell_length_a 4.502
_cell_length_b 4.502
_cell_length_c 4.502
_cell_angle_alpha 90.00
_cell_angle_beta 90.00
_cell_angle_gamma 90.00
loop_
_atom_site_label
_atom_site_fract_x
_atom_site_fract_y
_atom_site_fract_z
Rb1 0.000 0.000 0.000
Tc1 0.000 0.000 0.500
Ni1 0.500 0.500 0.500